Crystalline Cs2CuTe2H at its relaxed geometry. Source: Alexandria, functional PBE-GGA.

Density = 3.600 g/cm³
VASP energy = -2.876 eV per atom
Size of the total moment = 0.00 μB per formula unit

Cell: 9.2748 9.2748 9.2748 Å, 115.62 87.35 127.88°
Closest atoms and distances in Å follow each position.
Sites, in units of the cell vectors:
Cs (0.1126, 0.1567, 0.2693)  2 H 2.97
Cs (0.3874, 0.6567, 0.0440)  2 H 2.97
Cs (0.6126, 0.3433, 0.9560)  2 H 2.97
Cs (0.8874, 0.8433, 0.7307)  2 H 2.97
Cu (0.2500, 0.7500, 0.5000)  4 Te 2.55
Cu (0.7500, 0.2500, 0.5000)  4 Te 2.55
Te (0.0968, 0.5834, 0.6802)  2 Cu 2.55
Te (0.4032, 0.0834, 0.4866)  2 Cu 2.55
Te (0.5968, 0.9166, 0.5134)  2 Cu 2.55
Te (0.9032, 0.4166, 0.3198)  2 Cu 2.55
H (0.2500, 0.2500, 0.0000)  4 Cs 2.97
H (0.7500, 0.7500, 0.0000)  4 Cs 2.97



Crystalline Li2HoAgBr6 at its relaxed geometry. Source: Alexandria, functional PBE-GGA.

Density = 4.631 g/cm³
Uncorrected formation energy = -1.404 eV per atom
VASP energy = -3.533 eV per atom
Size of the total moment = 0.00 μB per formula unit

Cell: 7.6080 7.6080 7.6080 Å, 54.93 54.93 54.93°
Closest atoms and distances in Å follow each position.
Sites, in units of the cell vectors:
Li (0.0000, 0.0000, 0.0000)  6 Br 2.73-2.89
Li (0.4896, 0.4896, 0.4896)  6 Br 2.75-2.80
Ho (0.8082, 0.8082, 0.8082)  6 Br 2.78-2.82
Ag (0.2910, 0.2910, 0.2910)  6 Br 2.79-3.10
Br (0.0847, 0.3999, 0.7221)  2 Li 2.73-2.80, 1 Ho 2.78
Br (0.2229, 0.8753, 0.6055)  2 Li 2.75-2.89, 1 Ag 2.79, 1 Ho 2.82
Br (0.3999, 0.7221, 0.0847)  2 Li 2.73-2.80, 1 Ho 2.78
Br (0.6055, 0.2229, 0.8753)  2 Li 2.75-2.89, 1 Ag 2.79, 1 Ho 2.82
Br (0.7221, 0.0847, 0.3999)  2 Li 2.73-2.80, 1 Ho 2.78
Br (0.8753, 0.6055, 0.2229)  2 Li 2.75-2.89, 1 Ag 2.79, 1 Ho 2.82



Crystalline CaTb4TmS8 at its relaxed geometry. Source: Alexandria, functional PBE-GGA.

Density = 4.876 g/cm³
Uncorrected formation energy = -2.002 eV per atom
VASP energy = -6.146 eV per atom
Size of the total moment = 0.00 μB per formula unit

Cell: 8.0811 8.0811 8.0811 Å, 60.22 60.22 60.22°
Closest atoms and distances in Å follow each position.
Sites, in units of the cell vectors:
Ca (0.0000, 0.0000, 0.0000)  4 S 2.67-2.69
Tb (0.1189, 0.6266, 0.6266)  6 S 2.73-2.81
Tb (0.2492, 0.2492, 0.2492)  4 S 2.63-2.65
Tb (0.6266, 0.1189, 0.6266)  6 S 2.73-2.81
Tb (0.6266, 0.6266, 0.1189)  6 S 2.73-2.81
Tm (0.6267, 0.6267, 0.6267)  6 S 2.69-2.76
S (0.3823, 0.3823, 0.3823)  4 Tb 2.63-2.80
S (0.3858, 0.3858, 0.8490)  3 Tb 2.65-2.81, 1 Tm 2.76
S (0.3858, 0.8490, 0.3858)  3 Tb 2.65-2.81, 1 Tm 2.76
S (0.4062, 0.8616, 0.8616)  1 Ca 2.69, 1 Tm 2.69, 2 Tb 2.74
S (0.8490, 0.3858, 0.3858)  3 Tb 2.65-2.81, 1 Tm 2.76
S (0.8616, 0.4062, 0.8616)  1 Ca 2.69, 1 Tm 2.69, 2 Tb 2.74
S (0.8616, 0.8616, 0.4062)  1 Ca 2.69, 1 Tm 2.69, 2 Tb 2.74
S (0.8647, 0.8647, 0.8647)  1 Ca 2.67, 3 Tb 2.73



Crystalline LiTc2HgN at its relaxed geometry. Source: Alexandria, functional PBE-GGA.

Density = 9.933 g/cm³
Uncorrected formation energy = 0.006 eV per atom
VASP energy = -6.249 eV per atom
Size of the total moment = 0.00 μB per formula unit

Cell: 3.9971 3.9971 4.3688 Å, 90.00 90.00 90.00°
Closest atoms and distances in Å follow each position.
Sites, in units of the cell vectors:
Li (0.0000, 0.0000, 0.0000)  2 N 2.18
Tc (0.0000, 0.5000, 0.5000)  2 N 2.00
Tc (0.5000, 0.0000, 0.5000)  2 N 2.00
Hg (0.5000, 0.5000, 0.0000)  4 Li 2.83, 8 Tc 2.96
N (0.0000, 0.0000, 0.5000)  4 Tc 2.00, 2 Li 2.18



What is the VASP energy in the third record? -6.146 eV per atom